First-principles (PBE) data for Pm3Pd2Au3 after structural relaxation, as listed in Alexandria.

```
data_Pm3Pd2Au3
_cell_length_a 4.064
_cell_length_b 10.486
_cell_length_c 17.282
_cell_angle_alpha 90.00
_cell_angle_beta 90.00
_cell_angle_gamma 90.00
_symmetry_space_group_name_H-M 'C m c m'
_symmetry_Int_Tables_number 63
_symmetry_space_group_name_Hall '-C 2c 2'
loop_
_atom_site_label
_atom_site_fract_x
_atom_site_fract_y
_atom_site_fract_z
Pm1 0.000 0.065 0.103
Pm2 0.000 0.330 0.250
Pd1 0.000 0.225 0.624
Au1 0.000 0.365 0.028
Au2 0.000 0.392 0.750
```

Values from the calculation:
**Energy relative to the lowest polymorph listed for this composition**: 0 meV/atom
**Energy relative to the elements**: -79.2 kJ/mol of atoms
**Mass density**: 11.17 Mg/m³
**Size of the total moment**: 0.00 μB/f.u.